! Mn2V2O7 (GGA+U, optimized geometry); values from VASP
&SYSTEM
  ibrav = 0, nat = 22, ntyp = 3
/
ATOMIC_SPECIES
Mn 54.94 Mn.upf
V 50.94 V.upf
O 16.00 O.upf
ATOMIC_POSITIONS crystal
Mn 0.1066 0.1548 0.4010
Mn 0.1066 0.3452 0.9010
Mn 0.8934 0.6548 0.0990
Mn 0.8934 0.8452 0.5990
V 0.3547 0.6187 0.6659
V 0.3547 0.8813 0.1659
V 0.6453 0.1187 0.8341
V 0.6453 0.3813 0.3341
O 0.1148 0.6935 0.4578
O 0.1148 0.8065 0.9578
O 0.2017 0.5405 0.8834
O 0.2017 0.9595 0.3834
O 0.3798 0.2127 0.7126
O 0.3798 0.2873 0.2126
O 0.5000 0.0000 0.0000
O 0.5000 0.5000 0.5000
O 0.6202 0.7127 0.7874
O 0.6202 0.7873 0.2874
O 0.7983 0.0405 0.6166
O 0.7983 0.4595 0.1166
O 0.8852 0.1935 0.0422
O 0.8852 0.3065 0.5422
CELL_PARAMETERS angstrom
5.0475 0.0000 0.0000
0.0000 10.6059 0.0000
-0.7442 0.0000 5.5077
! calculated density = 3647 kg/m³
! relative energy among the computed polymorphs = 0.22 kcal/mol of atoms
! magnetization = 10.00 μB per formula unit